[1]
A plane-wave DFT calculation with SCAN was carried out for TaMnBe4 at its PBEsol-relaxed geometry.

Summary:
* uncorrected energy: -17.336 eV per atom
* theoretical density: 7.83 g/cm3
* energy relative to the elements: -294 meV/atom
* calculated volume: 58 Å³ per cell

a b c (Å): 4.337 4.337 4.337
angles (deg): 60.00 60.00 60.00
Positions (direct):
Ta  0.000  0.000  0.000
Be  0.128  0.624  0.624
Mn  0.250  0.250  0.250
Be  0.624  0.128  0.624
Be  0.624  0.624  0.128
Be  0.624  0.624  0.624

[2]
A plane-wave DFT calculation with SCAN was carried out for MnBeTc2 at its PBEsol-relaxed geometry.

Summary:
* uncorrected energy: -23.278 eV per atom
* theoretical density: 9.08 g/cm3
* energy relative to the elements: -96 meV/atom
* calculated volume: 48 Å³ per cell

a b c (Å): 2.979 4.075 4.659
angles (deg): 115.94 108.64 90.00
Positions (direct):
Mn  0.000  0.500  0.000
Be  0.500  0.000  0.000
Tc  0.248  0.248  0.496
Tc  0.752  0.752  0.504

[3]
A plane-wave DFT calculation with SCAN was carried out for MnBeTc at its PBEsol-relaxed geometry.

Summary:
* uncorrected energy: -18.867 eV per atom
* theoretical density: 7.11 g/cm3
* energy relative to the elements: 356 meV/atom
* calculated volume: 38 Å³ per cell

a b c (Å): 3.767 3.767 3.767
angles (deg): 60.00 60.00 60.00
Positions (direct):
Be  0.500  0.500  0.500
Tc  0.000  0.000  0.000
Mn  0.250  0.250  0.250

[4]
A plane-wave DFT calculation with SCAN was carried out for MnBeTc at its PBEsol-relaxed geometry.

Summary:
* uncorrected energy: -19.392 eV per atom
* theoretical density: 8.33 g/cm3
* energy relative to the elements: -169 meV/atom
* calculated volume: 32 Å³ per cell

a b c (Å): 2.829 2.829 4.504
angles (deg): 108.31 108.31 90.00
Positions (direct):
Be  0.008  0.008  0.016
Tc  0.329  0.329  0.659
Mn  0.662  0.662  0.325

[5]
A plane-wave DFT calculation with SCAN was carried out for MnBe2Tc at its PBEsol-relaxed geometry.

Summary:
* uncorrected energy: -15.398 eV per atom
* theoretical density: 6.58 g/cm3
* energy relative to the elements: 107 meV/atom
* calculated volume: 43 Å³ per cell

a b c (Å): 2.541 2.541 7.860
angles (deg): 80.70 80.70 60.00
Positions (direct):
Be  0.754  0.754  0.738
Mn  0.500  0.500  0.500
Tc  0.000  0.000  0.000
Be  0.246  0.246  0.262

[6]
A plane-wave DFT calculation with SCAN was carried out for MnBe2Tc2 at its PBEsol-relaxed geometry.

Summary:
* uncorrected energy: -19.812 eV per atom
* theoretical density: 8.30 g/cm3
* energy relative to the elements: -396 meV/atom
* calculated volume: 108 Å³ per cell

a b c (Å): 3.117 5.877 5.877
angles (deg): 90.00 90.00 90.00
Positions (direct):
Tc  0.500  0.823  0.323
Be  0.000  0.879  0.621
Be  0.000  0.621  0.121
Tc  0.500  0.177  0.677
Be  0.000  0.121  0.379
Tc  0.500  0.323  0.177
Tc  0.500  0.677  0.823
Be  0.000  0.379  0.879
Mn  0.000  0.000  0.000
Mn  0.000  0.500  0.500

[7]
A plane-wave DFT calculation with SCAN was carried out for MnBe2Tc at its PBEsol-relaxed geometry.

Summary:
* uncorrected energy: -15.622 eV per atom
* theoretical density: 7.07 g/cm3
* energy relative to the elements: -117 meV/atom
* calculated volume: 40 Å³ per cell

a b c (Å): 2.989 3.752 4.313
angles (deg): 115.96 110.27 90.00
Positions (direct):
Mn  0.491  0.491  0.983
Be  0.017  0.016  0.034
Tc  0.257  0.758  0.514
Be  0.735  0.236  0.470

[8]
A plane-wave DFT calculation with SCAN was carried out for MnBeTc2 at its PBEsol-relaxed geometry.

Summary:
* uncorrected energy: -23.148 eV per atom
* theoretical density: 9.05 g/cm3
* energy relative to the elements: 34 meV/atom
* calculated volume: 48 Å³ per cell

a b c (Å): 2.637 3.747 4.826
angles (deg): 90.00 90.00 90.00
Positions (direct):
Mn  0.500  0.500  0.729
Be  0.000  0.000  0.504
Tc  0.500  0.500  0.276
Tc  0.000  0.000  0.991

[9]
A plane-wave DFT calculation with SCAN was carried out for MnBeTc2 at its PBEsol-relaxed geometry.

Summary:
* uncorrected energy: -23.226 eV per atom
* theoretical density: 9.27 g/cm3
* energy relative to the elements: -43 meV/atom
* calculated volume: 47 Å³ per cell

a b c (Å): 2.691 3.151 5.495
angles (deg): 90.00 90.00 90.00
Positions (direct):
Be  0.500  0.500  0.000
Tc  0.000  0.000  0.760
Mn  0.500  0.500  0.500
Tc  0.000  0.000  0.240

[10]
A plane-wave DFT calculation with SCAN was carried out for MnBeTe3 at its PBEsol-relaxed geometry.

Summary:
* energy relative to the elements, uncorrected: 0.44 eV per atom
* uncorrected energy: -26.436 eV per atom
* theoretical density: 6.18 g/cm3
* calculated volume: 120 Å³ per cell

a b c (Å): 4.934 4.934 4.934
angles (deg): 90.00 90.00 90.00
Positions (direct):
Te  0.000  0.500  0.000
Be  0.000  0.000  0.000
Te  0.000  0.000  0.500
Mn  0.500  0.500  0.500
Te  0.500  0.000  0.000

[11]
A plane-wave DFT calculation with SCAN was carried out for MnBeTe at its PBEsol-relaxed geometry.

Summary:
* energy relative to the elements, uncorrected: 0.31 eV per atom
* uncorrected energy: -19.642 eV per atom
* theoretical density: 6.85 g/cm3
* calculated volume: 46 Å³ per cell

a b c (Å): 3.884 3.884 3.558
angles (deg): 90.00 90.00 120.00
Positions (direct):
Te  0.667  0.333  0.333
Mn  0.333  0.667  0.833
Be  0.000  0.000  0.834

[12]
A plane-wave DFT calculation with SCAN was carried out for TiMn2Be2 at its PBEsol-relaxed geometry.

Summary:
* uncorrected energy: -12.442 eV per atom
* theoretical density: 5.72 g/cm3
* energy relative to the elements: -193 meV/atom
* calculated volume: 102 Å³ per cell

a b c (Å): 2.886 5.946 5.946
angles (deg): 90.00 90.00 90.00
Positions (direct):
Mn  0.500  0.174  0.674
Be  0.000  0.118  0.382
Be  0.000  0.882  0.618
Be  0.000  0.618  0.118
Mn  0.500  0.826  0.326
Ti  0.000  0.000  0.000
Mn  0.500  0.674  0.826
Be  0.000  0.382  0.882
Ti  0.000  0.500  0.500
Mn  0.500  0.326  0.174

[13]
A plane-wave DFT calculation with SCAN was carried out for Mn2BeTl at its PBEsol-relaxed geometry.

Summary:
* uncorrected energy: -28.130 eV per atom
* theoretical density: 9.82 g/cm3
* energy relative to the elements: 176 meV/atom
* calculated volume: 55 Å³ per cell

a b c (Å): 3.794 3.794 4.649
angles (deg): 114.09 114.09 90.00
Positions (direct):
Mn  0.250  0.750  0.500
Be  0.500  0.500  0.000
Mn  0.750  0.250  0.500
Tl  0.000  0.000  0.000

[14]
A plane-wave DFT calculation with SCAN was carried out for Mn2BeTl at its PBEsol-relaxed geometry.

Summary:
* uncorrected energy: -28.125 eV per atom
* theoretical density: 9.79 g/cm3
* energy relative to the elements: 181 meV/atom
* calculated volume: 55 Å³ per cell

a b c (Å): 3.788 3.788 3.822
angles (deg): 90.00 90.00 90.00
Positions (direct):
Tl  0.500  0.500  0.500
Mn  0.500  0.000  0.000
Mn  0.000  0.500  0.000
Be  0.000  0.000  0.500

[15]
A plane-wave DFT calculation with SCAN was carried out for MnBe2W2 at its PBEsol-relaxed geometry.

Summary:
* uncorrected energy: -33.367 eV per atom
* theoretical density: 13.07 g/cm3
* energy relative to the elements: -99 meV/atom
* calculated volume: 112 Å³ per cell

a b c (Å): 3.244 5.875 5.875
angles (deg): 90.00 90.00 90.00
Positions (direct):
W  0.500  0.324  0.176
Be  0.000  0.622  0.122
Mn  0.000  0.000  0.000
Be  0.000  0.878  0.622
W  0.500  0.824  0.324
Be  0.000  0.122  0.378
Be  0.000  0.378  0.878
W  0.500  0.176  0.676
Mn  0.000  0.500  0.500
W  0.500  0.676  0.824

[16]
A plane-wave DFT calculation with SCAN was carried out for MnBe3W at its PBEsol-relaxed geometry.

Summary:
* uncorrected energy: -18.885 eV per atom
* theoretical density: 5.82 g/cm3
* energy relative to the elements: 1315 meV/atom
* calculated volume: 76 Å³ per cell

a b c (Å): 4.234 4.234 4.234
angles (deg): 90.00 90.00 90.00
Positions (direct):
Be  0.000  0.500  0.000
Be  0.000  0.000  0.500
Mn  0.500  0.500  0.500
W  0.000  0.000  0.000
Be  0.500  0.000  0.000

[17]
A plane-wave DFT calculation with SCAN was carried out for MnBeW2 at its PBEsol-relaxed geometry.

Summary:
* uncorrected energy: -40.295 eV per atom
* theoretical density: 13.72 g/cm3
* energy relative to the elements: 201 meV/atom
* calculated volume: 52 Å³ per cell

a b c (Å): 3.669 3.669 4.667
angles (deg): 113.15 113.15 90.00
Positions (direct):
Mn  0.000  0.000  0.000
W  0.750  0.250  0.500
Be  0.500  0.500  0.000
W  0.250  0.750  0.500

[18]
A plane-wave DFT calculation with SCAN was carried out for Mn2BeW at its PBEsol-relaxed geometry.

Summary:
* uncorrected energy: -27.497 eV per atom
* theoretical density: 10.87 g/cm3
* energy relative to the elements: 141 meV/atom
* calculated volume: 46 Å³ per cell

a b c (Å): 2.533 4.575 4.722
angles (deg): 116.83 102.02 97.10
Positions (direct):
Mn  0.000  0.000  0.500
Mn  0.500  0.500  0.500
W  0.500  0.000  0.000
Be  0.000  0.500  0.000

[19]
A plane-wave DFT calculation with SCAN was carried out for Mn2BeW at its PBEsol-relaxed geometry.

Summary:
* uncorrected energy: -27.374 eV per atom
* theoretical density: 10.61 g/cm3
* energy relative to the elements: 264 meV/atom
* calculated volume: 47 Å³ per cell

a b c (Å): 2.615 2.615 8.147
angles (deg): 80.77 80.77 60.00
Positions (direct):
Mn  0.741  0.741  0.776
Mn  0.259  0.259  0.224
Be  0.000  0.000  0.000
W  0.500  0.500  0.500

[20]
A plane-wave DFT calculation with SCAN was carried out for Mn2BeW at its PBEsol-relaxed geometry.

Summary:
* uncorrected energy: -27.349 eV per atom
* theoretical density: 10.76 g/cm3
* energy relative to the elements: 289 meV/atom
* calculated volume: 47 Å³ per cell

a b c (Å): 2.592 2.592 8.175
angles (deg): 81.01 81.01 59.87
Positions (direct):
Mn  0.001  0.001  0.999
Be  0.256  0.256  0.230
W  0.501  0.501  0.497
Mn  0.742  0.742  0.774

[21]
A plane-wave DFT calculation with SCAN was carried out for Mn2BeW at its PBEsol-relaxed geometry.

Summary:
* uncorrected energy: -27.664 eV per atom
* theoretical density: 11.19 g/cm3
* energy relative to the elements: -26 meV/atom
* calculated volume: 45 Å³ per cell

a b c (Å): 2.926 2.926 5.248
angles (deg): 90.00 90.00 90.00
Positions (direct):
Mn  0.000  0.000  0.280
Be  0.500  0.500  0.500
W  0.500  0.500  0.000
Mn  0.000  0.000  0.720

[22]
A plane-wave DFT calculation with SCAN was carried out for YMn2Be at its PBEsol-relaxed geometry.

Summary:
* uncorrected energy: -17.085 eV per atom
* theoretical density: 5.75 g/cm3
* energy relative to the elements: 91 meV/atom
* calculated volume: 60 Å³ per cell

a b c (Å): 4.394 4.394 4.394
angles (deg): 60.00 60.00 60.00
Positions (direct):
Y  0.250  0.250  0.250
Mn  0.000  0.000  0.000
Be  0.500  0.500  0.500
Mn  0.750  0.750  0.750

[23]
A plane-wave DFT calculation with SCAN was carried out for YMnBe3 at its PBEsol-relaxed geometry.

Summary:
* uncorrected energy: -11.677 eV per atom
* theoretical density: 4.15 g/cm3
* energy relative to the elements: 155 meV/atom
* calculated volume: 68 Å³ per cell

a b c (Å): 4.090 4.090 4.090
angles (deg): 90.00 90.00 90.00
Positions (direct):
Be  0.500  0.000  0.000
Be  0.000  0.000  0.500
Y  0.500  0.500  0.500
Be  0.000  0.500  0.000
Mn  0.000  0.000  0.000

[24]
A plane-wave DFT calculation with SCAN was carried out for YMn2Be at its PBEsol-relaxed geometry.

Summary:
* uncorrected energy: -17.245 eV per atom
* theoretical density: 5.72 g/cm3
* energy relative to the elements: -69 meV/atom
* calculated volume: 60 Å³ per cell

a b c (Å): 3.781 3.781 5.336
angles (deg): 69.25 69.25 60.00
Positions (direct):
Y  0.504  0.504  0.488
Mn  0.309  0.309  0.073
Be  0.697  0.697  0.909
Mn  0.996  0.996  0.012

[25]
A plane-wave DFT calculation with SCAN was carried out for Y2MnBe at its PBEsol-relaxed geometry.

Summary:
* uncorrected energy: -19.530 eV per atom
* theoretical density: 5.04 g/cm3
* energy relative to the elements: 44 meV/atom
* calculated volume: 80 Å³ per cell

a b c (Å): 3.378 4.854 4.854
angles (deg): 90.00 90.00 90.00
Positions (direct):
Mn  0.500  0.000  0.000
Be  0.500  0.500  0.500
Y  0.000  0.500  0.000
Y  0.000  0.000  0.500

[26]
A plane-wave DFT calculation with SCAN was carried out for Y2MnBe at its PBEsol-relaxed geometry.

Summary:
* uncorrected energy: -19.567 eV per atom
* theoretical density: 5.11 g/cm3
* energy relative to the elements: 7 meV/atom
* calculated volume: 79 Å³ per cell

a b c (Å): 3.320 4.643 5.839
angles (deg): 113.43 106.52 90.00
Positions (direct):
Y  0.985  0.485  0.970
Mn  0.199  0.199  0.398
Y  0.777  0.777  0.553
Be  0.539  0.039  0.079

[27]
A plane-wave DFT calculation with SCAN was carried out for YMn4Be at its PBEsol-relaxed geometry.

Summary:
* uncorrected energy: -17.140 eV per atom
* theoretical density: 6.84 g/cm3
* energy relative to the elements: 396 meV/atom
* calculated volume: 77 Å³ per cell

a b c (Å): 4.777 4.777 4.777
angles (deg): 60.00 60.00 60.00
Positions (direct):
Mn  0.373  0.373  0.880
Mn  0.880  0.373  0.373
Y  0.750  0.750  0.750
Mn  0.373  0.880  0.373
Be  0.000  0.000  0.000
Mn  0.373  0.373  0.373

[28]
A plane-wave DFT calculation with SCAN was carried out for MnBe4Zn at its PBEsol-relaxed geometry.

Summary:
* uncorrected energy: -8.349 eV per atom
* theoretical density: 4.69 g/cm3
* energy relative to the elements: -152 meV/atom
* calculated volume: 55 Å³ per cell

a b c (Å): 4.278 4.278 4.278
angles (deg): 60.00 60.00 60.00
Positions (direct):
Be  0.377  0.377  0.870
Be  0.377  0.377  0.377
Be  0.870  0.377  0.377
Zn  0.000  0.000  0.000
Mn  0.750  0.750  0.750
Be  0.377  0.870  0.377

[29]
A plane-wave DFT calculation with SCAN was carried out for MnBeZn at its PBEsol-relaxed geometry.

Summary:
* uncorrected energy: -11.942 eV per atom
* theoretical density: 5.79 g/cm3
* energy relative to the elements: 99 meV/atom
* calculated volume: 37 Å³ per cell

a b c (Å): 3.743 3.743 3.743
angles (deg): 60.00 60.00 60.00
Positions (direct):
Mn  0.000  0.000  0.000
Zn  0.500  0.500  0.500
Be  0.250  0.250  0.250